1.
Ho4MgCd2Ag | PBE-GGA | relaxed

Properties
Formation enthalpy at 0 K: -0.264 eV/atom
Space group: R-3m

abc: 9.071 9.071 9.071
angles: 33.61 33.61 33.61
Fractional coordinates of all 8 atoms:
Ho  0.121  0.121  0.121
Ho  0.372  0.372  0.372
Ho  0.628  0.628  0.628
Ho  0.879  0.879  0.879
Mg  0.500  0.500  0.500
Cd  0.244  0.244  0.244
Cd  0.756  0.756  0.756
Ag  0.000  0.000  0.000

=====

2.
Pr2Dy6YHo | PBE-GGA | relaxed

Properties
Formation enthalpy at 0 K: 0.115 eV/atom
Space group: C2/c

abc: 8.813 8.813 9.721
angles: 94.53 94.53 118.36
Fractional coordinates of all 20 atoms:
Pr  0.193  0.300  0.042
Pr  0.300  0.193  0.542
Pr  0.700  0.807  0.458
Pr  0.807  0.700  0.958
Dy  0.022  0.576  0.188
Dy  0.126  0.744  0.557
Dy  0.256  0.874  0.943
Dy  0.291  0.502  0.381
Dy  0.424  0.978  0.312
Dy  0.498  0.709  0.119
Dy  0.502  0.291  0.881
Dy  0.576  0.022  0.688
Dy  0.709  0.498  0.619
Dy  0.744  0.126  0.057
Dy  0.874  0.256  0.443
Dy  0.978  0.424  0.812
Y  0.018  0.982  0.250
Y  0.982  0.018  0.750
Ho  0.407  0.593  0.750
Ho  0.593  0.407  0.250

=====

3.
PrIn3Au3 | PBE-GGA | relaxed

Properties
ΔE to the lowest computed polymorph: 0.0 kJ per mole of atoms
Formation enthalpy at 0 K: -0.401 eV/atom
Space group: P2_1/m

abc: 8.823 4.938 8.834
angles: 90.00 119.96 90.00
Fractional coordinates of all 14 atoms:
Pr  0.166  0.250  0.333
Pr  0.834  0.750  0.667
In  0.249  0.250  0.773
In  0.274  0.750  0.025
In  0.476  0.750  0.749
In  0.524  0.250  0.251
In  0.726  0.250  0.975
In  0.751  0.750  0.227
Au  0.026  0.250  0.919
Au  0.106  0.750  0.525
Au  0.419  0.750  0.394
Au  0.581  0.250  0.606
Au  0.894  0.250  0.475
Au  0.974  0.750  0.081

=====

4.
Hf3GeSe3 | PBE-GGA | relaxed

Properties
Energy relative to the elements, uncorrected: -106.30 kJ per mole of atoms
Space group: I4_132

abc: 9.307 9.307 9.307
angles: 109.47 109.47 109.47
Fractional coordinates of all 28 atoms:
Hf  0.004  0.008  0.254
Hf  0.004  0.496  0.750
Hf  0.008  0.254  0.004
Hf  0.246  0.254  0.750
Hf  0.246  0.492  0.496
Hf  0.254  0.004  0.008
Hf  0.254  0.750  0.246
Hf  0.492  0.496  0.246
Hf  0.496  0.246  0.492
Hf  0.496  0.750  0.004
Hf  0.750  0.004  0.496
Hf  0.750  0.246  0.254
Ge  0.000  0.250  0.500
Ge  0.250  0.250  0.250
Ge  0.250  0.500  0.000
Ge  0.500  0.000  0.250
Se  0.250  0.755  0.745
Se  0.250  0.995  0.505
Se  0.505  0.250  0.995
Se  0.505  0.755  0.509
Se  0.509  0.505  0.755
Se  0.745  0.250  0.755
Se  0.745  0.995  0.991
Se  0.755  0.509  0.505
Se  0.755  0.745  0.250
Se  0.991  0.745  0.995
Se  0.995  0.505  0.250
Se  0.995  0.991  0.745

=====

5.
TcHg2Os | PBE-GGA | relaxed

Properties
ΔE to the lowest computed polymorph: 55.9 kJ per mole of atoms
Formation enthalpy at 0 K: 0.903 eV/atom
Space group: Pmmm

abc: 2.895 4.920 4.977
angles: 90.00 90.00 90.00
Fractional coordinates of all 4 atoms:
Tc  0.000  0.000  0.000
Hg  0.000  0.500  0.500
Hg  0.500  0.500  0.000
Os  0.500  0.000  0.500

=====

6.
ZnCrCoS2 | PBE-GGA | relaxed

Properties
Energy relative to the elements, uncorrected: 48.97 kJ per mole of atoms
Space group: P4/mmm

abc: 4.304 4.304 4.912
angles: 90.00 90.00 90.00
Fractional coordinates of all 5 atoms:
Zn  0.000  0.000  0.000
Cr  0.500  0.500  0.000
Co  0.500  0.500  0.500
S  0.000  0.500  0.500
S  0.500  0.000  0.500

=====

| no. | density of states at the Fermi level (states/eV per cell) | calculated total energy (eV per atom) |
| --- | --- | --- |
| 1 | 5.9 | -3.3376 |
| 2 | 27.4 | -4.7062 |
| 3 | 8.6 | -3.6624 |
| 4 | 6.3 | -7.5204 |
| 5 | 4.5 | -4.6473 |
| 6 | 4.6 | -4.7441 |